Crystalline LiAgSb at its relaxed geometry, computed with PBE.

Lattice parameters (Å, degrees): 3.315 7.237 3.172 83.13 58.49 76.76
Sites, in units of the cell vectors:
Sb 0.995 0.009 0.000
Li 0.329 0.342 0.000
Ag 0.676 0.648 0.000

Results
total magnetization = 0.00 μB per atom
uncorrected formation energy = -4 kJ per mole of atoms
symmetry = Fmm2 (42)